A plane-wave DFT calculation with GGA-PBE was carried out for an optimized crystal structure of Rb2DySb2Pb.

Calculated values
V = 44.5 Å³ per atom
final energy = -3.38 eV/atom

Cell and atoms, written as CIF:
```
data_Rb2DySb2Pb
_cell_length_a 4.6645
_cell_length_b 4.6645
_cell_length_c 14.1720
_cell_angle_alpha 90.00
_cell_angle_beta 90.00
_cell_angle_gamma 120.00
_space_group_name_H-M_alt 'P 3 m 1'
_space_group_IT_number 156
_space_group_name_Hall 'P 3 -2"'
loop_
_atom_site_label
_atom_site_fract_x
_atom_site_fract_y
_atom_site_fract_z
Rb1 0.0000 0.0000 0.0000
Rb2 0.3333 0.6667 0.4725
Dy1 0.6667 0.3333 0.7392
Sb1 0.0000 0.0000 0.6517
Sb2 0.3333 0.6667 0.1713
Pb1 0.6667 0.3333 0.2723
```